{
  "formula": "In3CoMo",
  "functional": "PBE",
  "state": "relaxed",
  "polymorph_energy_ev_per_atom": 0.000,
  "m_tot_mub_per_fu": 4.28,
  "delta_e_f_ev_per_atom": 0.783,
  "crystal_system": "cubic",
  "lattice": [[4.872, 0.000, 0.000], [0.000, 4.872, 0.000], [0.000, 0.000, 4.872]],
  "species": ["In", "In", "In", "Co", "Mo"],
  "fractional_positions": [[0.000, 0.000, 0.500], [0.000, 0.500, 0.000], [0.500, 0.000, 0.000], [0.000, 0.000, 0.000], [0.500, 0.500, 0.500]]
}